[1]
The following is a PBE calculation of AlTeOs after structural relaxation, from Alexandria.

E: -17.1 eV/cell
energy above the most stable polymorph in this dataset: 216 meV/atom

Cell lengths 3.292, 3.292, 6.033 Å; angles 90.00, 90.00, 120.00 degrees
Atoms (fractional coordinates):
Al  0.000  0.000  0.000
Te  0.333  0.667  0.607
Os  0.667  0.333  0.284

[2]
The following is a PBE calculation of Sr2SmBiO6 after structural relaxation, from Alexandria.

E: -131.3 eV/cell

Cell lengths 5.994, 6.157, 10.440 Å; angles 90.00, 124.82, 90.00 degrees
Atoms (fractional coordinates):
Sr  0.237  0.047  0.251
Sr  0.237  0.453  0.751
Sr  0.763  0.547  0.249
Sr  0.763  0.953  0.749
Sm  0.500  0.000  0.000
Sm  0.500  0.500  0.500
Bi  0.000  0.000  0.500
Bi  0.000  0.500  0.000
O  0.135  0.214  0.943
O  0.135  0.286  0.443
O  0.235  0.696  0.948
O  0.235  0.804  0.448
O  0.341  0.040  0.739
O  0.341  0.460  0.239
O  0.659  0.540  0.761
O  0.659  0.960  0.261
O  0.765  0.196  0.552
O  0.765  0.304  0.052
O  0.865  0.714  0.557
O  0.865  0.786  0.057

[3]
The following is a PBE calculation of Pm6Tm12Mg after structural relaxation, from Alexandria.

E: -81.2 eV/cell

Cell lengths 8.603, 8.603, 8.603 Å; angles 97.60, 97.60, 97.60 degrees
Atoms (fractional coordinates):
Pm  0.090  0.365  0.365
Pm  0.365  0.090  0.365
Pm  0.365  0.365  0.090
Pm  0.635  0.635  0.910
Pm  0.635  0.910  0.635
Pm  0.910  0.635  0.635
Tm  0.096  0.096  0.665
Tm  0.096  0.665  0.096
Tm  0.239  0.500  0.761
Tm  0.239  0.761  0.500
Tm  0.335  0.904  0.904
Tm  0.500  0.239  0.761
Tm  0.500  0.761  0.239
Tm  0.665  0.096  0.096
Tm  0.761  0.239  0.500
Tm  0.761  0.500  0.239
Tm  0.904  0.335  0.904
Tm  0.904  0.904  0.335
Mg  0.500  0.500  0.500

[4]
The following is a PBE calculation of TbDy6Er6 after structural relaxation, from Alexandria.

E: -56.7 eV/cell

Cell lengths 6.515, 6.515, 10.934 Å; angles 90.00, 90.00, 115.39 degrees
Atoms (fractional coordinates):
Tb  0.000  0.000  0.000
Dy  0.000  0.000  0.333
Dy  0.000  0.000  0.667
Dy  0.262  0.738  0.500
Dy  0.356  0.644  0.000
Dy  0.644  0.356  0.000
Dy  0.738  0.262  0.500
Er  0.000  0.500  0.225
Er  0.000  0.500  0.775
Er  0.500  0.000  0.225
Er  0.500  0.000  0.775
Er  0.500  0.500  0.303
Er  0.500  0.500  0.697

[5]
The following is a PBE calculation of Te2IrI after structural relaxation, from Alexandria.

E: -34.4 eV/cell
energy above the most stable polymorph in this dataset: 55 meV/atom

Cell lengths 5.552, 6.720, 7.109 Å; angles 61.80, 89.77, 89.63 degrees
Atoms (fractional coordinates):
Te  0.000  0.000  0.000
Te  0.073  0.340  0.320
Te  0.519  0.071  0.321
Te  0.592  0.731  0.001
Ir  0.796  0.047  0.638
Ir  0.796  0.360  0.011
I  0.056  0.691  0.677
I  0.535  0.362  0.678

[6]
The following is a PBE calculation of AlSi2Os after structural relaxation, from Alexandria.

E: -25.0 eV/cell

Cell lengths 4.281, 4.281, 4.281 Å; angles 60.00, 60.00, 60.00 degrees
Atoms (fractional coordinates):
Al  0.000  0.000  0.000
Si  0.500  0.500  0.500
Si  0.750  0.750  0.750
Os  0.250  0.250  0.250

[7]
The following is a PBE calculation of Mg3Zr after structural relaxation, from Alexandria.

E: -23.7 eV/cell

Cell lengths 5.075, 5.075, 8.971 Å; angles 90.00, 90.00, 120.00 degrees
Atoms (fractional coordinates):
Mg  0.000  0.000  0.250
Mg  0.000  0.000  0.750
Mg  0.333  0.667  0.087
Mg  0.333  0.667  0.413
Mg  0.667  0.333  0.587
Mg  0.667  0.333  0.913
Zr  0.333  0.667  0.750
Zr  0.667  0.333  0.250

[8]
The following is a PBE calculation of Th2CdIn after structural relaxation, from Alexandria.

E: -19.3 eV/cell

Cell lengths 4.854, 4.854, 4.751 Å; angles 90.00, 90.00, 90.00 degrees
Atoms (fractional coordinates):
Th  0.000  0.500  0.000
Th  0.500  0.000  0.000
Cd  0.000  0.000  0.500
In  0.500  0.500  0.500